1.
Density functional theory data (PBE) for a geometry-optimized Sr2HgTePd structure.

The structure in POSCAR format:
```
Sr2HgTePd
1.0
-1.475 -3.683 -4.223
-2.857 -3.263 3.844
-4.296 2.727 -0.878
Sr Te Hg Pd
2 1 1 1
Direct
0.000 0.500 0.000 Sr
0.500 0.000 0.000 Sr
0.500 0.500 0.500 Te
0.000 0.000 0.500 Hg
0.000 0.000 0.000 Pd
```

Summary:
Formation energy (no corrections) in eV per atom: -0.7419
SG: P4/mmm

***

2.
Density functional theory data (PBE) for a geometry-optimized SrThHgPd structure.

The structure in POSCAR format:
```
SrThHgPd
1.0
5.344 0.000 0.000
2.672 4.628 0.000
2.672 1.543 4.363
Sr Pd Hg Th
1 1 1 1
Direct
0.750 0.750 0.750 Sr
0.000 0.000 0.000 Pd
0.500 0.500 0.500 Hg
0.250 0.250 0.250 Th
```

Summary:
Calculated formation energy in eV per atom: -0.361
SG: F-43m

***

| no. | raw total energy (eV per atom) | magnetization (μB per formula unit) |
| --- | --- | --- |
| 1 | -3.1419 | 0.000 |
| 2 | -4.0097 | 0.000 |